## Sm6Dy12Y (PBE)

Data for a relaxed Sm6Dy12Y crystal.

Summary:
Total DFT energy (no corrections) = -4.56 eV/atom
Distance to the lowest polymorph of the same formula = 0.0000 eV/atom
Space-group type = R-3 (148)

Lattice parameters (Å, degrees): 8.572 8.572 8.572 91.51 91.51 91.51
Element x y z (fractional)
Dy 0.468 0.791 0.527
Sm 0.865 0.255 0.726
Sm 0.726 0.865 0.255
Dy 0.527 0.468 0.791
Sm 0.274 0.135 0.745
Dy 0.532 0.209 0.473
Y 0.000 0.000 0.000
Dy 0.858 0.620 0.934
Dy 0.066 0.142 0.380
Dy 0.142 0.380 0.066
Dy 0.473 0.532 0.209
Dy 0.209 0.473 0.532
Sm 0.745 0.274 0.135
Dy 0.791 0.527 0.468
Sm 0.255 0.726 0.865
Dy 0.620 0.934 0.858
Dy 0.380 0.066 0.142
Sm 0.135 0.745 0.274
Dy 0.934 0.858 0.620

## TbSc2Ni2 (PBE)

Data for a relaxed TbSc2Ni2 crystal.

Summary:
Total DFT energy (no corrections) = -6.11 eV/atom
Space-group type = Cmc2_1 (36)

Lattice parameters (Å, degrees): 3.587 6.701 8.597 90.00 90.00 105.52
Element x y z (fractional)
Ni 0.048 0.096 0.521
Sc 0.886 0.772 0.688
Ni 0.952 0.904 0.021
Sc 0.114 0.228 0.188
Tb 0.411 0.822 0.340
Ni 0.763 0.527 0.182
Tb 0.589 0.178 0.840
Sc 0.685 0.371 0.474
Ni 0.237 0.473 0.682
Sc 0.315 0.629 0.974

## Ba2LiFe (PBE)

Data for a relaxed Ba2LiFe crystal.

Summary:
Total DFT energy (no corrections) = -2.85 eV/atom
Distance to the lowest polymorph of the same formula = 0.2637 eV/atom
Space-group type = I-42d (122)

Lattice parameters (Å, degrees): 10.629 10.629 7.935 47.95 47.95 90.00
Element x y z (fractional)
Li 0.500 0.500 0.000
Ba 0.951 0.625 0.250
Ba 0.799 0.125 0.250
Fe 0.750 0.250 0.500
Ba 0.375 0.201 0.750
Li 0.250 0.750 0.500
Fe 0.000 0.000 0.000
Ba 0.875 0.049 0.750

## SmMnNi5 (PBE)

Data for a relaxed SmMnNi5 crystal.

Summary:
Total DFT energy (no corrections) = -6.33 eV/atom
Space-group type = Pnma (62)

Lattice parameters (Å, degrees): 4.859 7.943 10.037 90.00 90.00 90.00
Element x y z (fractional)
Ni 0.996 0.934 0.308
Ni 0.004 0.066 0.692
Ni 0.250 0.448 0.403
Ni 0.750 0.402 0.983
Sm 0.750 0.754 0.059
Mn 0.250 0.859 0.856
Ni 0.750 0.813 0.751
Ni 0.750 0.313 0.749
Ni 0.504 0.434 0.192
Ni 0.504 0.934 0.308
Ni 0.250 0.948 0.097
Ni 0.496 0.566 0.808
Ni 0.250 0.098 0.483
Mn 0.750 0.641 0.356
Ni 0.750 0.052 0.903
Mn 0.250 0.359 0.644
Mn 0.750 0.141 0.144
Sm 0.250 0.746 0.559
Ni 0.250 0.598 0.017
Ni 0.004 0.566 0.808
Sm 0.250 0.246 0.941
Ni 0.250 0.687 0.251
Ni 0.496 0.066 0.692
Ni 0.750 0.552 0.597
Sm 0.750 0.254 0.441
Ni 0.996 0.434 0.192
Ni 0.750 0.902 0.517
Ni 0.250 0.187 0.249

## Co2ReMo (PBE)

Data for a relaxed Co2ReMo crystal.

Summary:
Total DFT energy (no corrections) = -9.34 eV/atom
Distance to the lowest polymorph of the same formula = 0.0769 eV/atom
Space-group type = P4/mmm (123)

Lattice parameters (Å, degrees): 3.721 3.722 3.711 90.00 90.00 90.00
Element x y z (fractional)
Co 0.500 0.500 0.000
Co 0.000 0.000 0.000
Mo 0.500 0.000 0.500
Re 0.000 0.500 0.500

## InPtCl4 (PBE)

Data for a relaxed InPtCl4 crystal.

Summary:
E_form (uncorrected) = 0.751 eV/atom
Total DFT energy (no corrections) = -1.94 eV/atom
Space-group type = F-43m (216)

Lattice parameters (Å, degrees): 5.865 5.865 5.865 60.00 60.00 60.00
Element x y z (fractional)
Cl 0.876 0.375 0.375
Pt 0.000 0.000 0.000
Cl 0.375 0.375 0.876
In 0.750 0.750 0.750
Cl 0.375 0.876 0.375
Cl 0.375 0.375 0.375

## La7Pr2Nd (PBE)

Data for a relaxed La7Pr2Nd crystal.

Summary:
Total DFT energy (no corrections) = -4.87 eV/atom
Distance to the lowest polymorph of the same formula = 0.0000 eV/atom
Space-group type = P-1 (2)

Lattice parameters (Å, degrees): 6.445 9.830 6.444 108.96 80.40 77.36
Element x y z (fractional)
Nd 0.000 0.000 0.000
La 0.101 0.299 0.800
La 0.699 0.100 0.600
La 0.301 0.900 0.400
Pr 0.200 0.600 0.600
La 0.500 0.500 0.000
La 0.899 0.701 0.200
Pr 0.800 0.400 0.400
La 0.401 0.199 0.199
La 0.599 0.801 0.801

## CrIn3N3 (PBE)

Data for a relaxed CrIn3N3 crystal.

Summary:
E_form (uncorrected) = 0.238 eV/atom
Total DFT energy (no corrections) = -5.88 eV/atom
Distance to the lowest polymorph of the same formula = 0.0000 eV/atom
Space-group type = P2_1/m (11)

Lattice parameters (Å, degrees): 11.098 9.212 3.502 90.00 90.00 125.25
Element x y z (fractional)
In 0.958 0.310 0.750
N 0.610 0.159 0.750
Cr 0.300 0.612 0.250
N 0.891 0.520 0.750
In 0.579 0.701 0.750
In 0.421 0.299 0.250
In 0.344 0.973 0.750
In 0.042 0.690 0.250
Cr 0.700 0.388 0.750
N 0.390 0.841 0.250
N 0.407 0.532 0.250
In 0.656 0.027 0.250
N 0.593 0.468 0.750
N 0.109 0.480 0.250

## Rb2BeZn (PBE)

Data for a relaxed Rb2BeZn crystal.

Summary:
Total DFT energy (no corrections) = -0.90 eV/atom
Distance to the lowest polymorph of the same formula = 0.0901 eV/atom
Space-group type = I-42d (122)

Lattice parameters (Å, degrees): 9.674 9.674 7.690 51.02 51.02 90.00
Element x y z (fractional)
Rb 0.614 0.125 0.250
Rb 0.375 0.386 0.750
Rb 0.875 0.864 0.750
Zn 0.750 0.250 0.500
Zn 0.000 0.000 0.000
Be 0.500 0.500 0.000
Be 0.250 0.750 0.500
Rb 0.136 0.625 0.250

## Na3TlCd5 (PBE)

Data for a relaxed Na3TlCd5 crystal.

Summary:
Total DFT energy (no corrections) = -1.16 eV/atom
Space-group type = I4/mcm (140)

Lattice parameters (Å, degrees): 8.909 8.909 8.917 119.97 119.97 90.00
Element x y z (fractional)
Cd 0.568 0.660 0.728
Cd 0.068 0.568 0.728
Na 0.250 0.250 0.500
Na 0.389 0.889 0.000
Cd 0.840 0.932 0.272
Na 0.111 0.389 0.000
Cd 0.432 0.340 0.272
Cd 0.340 0.840 0.272
Cd 0.160 0.068 0.728
Cd 0.500 0.500 0.000
Cd 0.660 0.160 0.728
Na 0.889 0.611 0.000
Cd 0.000 0.000 0.000
Tl 0.750 0.250 0.500
Cd 0.932 0.432 0.272
Na 0.611 0.111 0.000
Tl 0.250 0.750 0.500
Na 0.750 0.750 0.500

## PmDyAs2 (PBE)

Data for a relaxed PmDyAs2 crystal.

Summary:
Total DFT energy (no corrections) = -5.72 eV/atom
Distance to the lowest polymorph of the same formula = 0.4754 eV/atom
Space-group type = P4/mmm (123)

Lattice parameters (Å, degrees): 3.246 5.357 5.357 90.00 90.00 90.00
Element x y z (fractional)
As 0.000 0.000 0.500
Dy 0.500 0.000 0.000
Pm 0.500 0.500 0.500
As 0.000 0.500 0.000